Entry from Alexandria: a geometry-optimized DyZrCuHg structure (PBE).

Geometry as CIF:
```
data_DyZrCuHg
_chemical_formula_sum 'Dy4 Zr4 Cu4 Hg4'
_space_group_name_H-M_alt 'F -4 3 m'
_space_group_IT_number 216
_space_group_name_Hall 'F -4 2 3'
_cell_length_a 7.0313
_cell_length_b 7.0313
_cell_length_c 7.0313
_cell_angle_alpha 90.00
_cell_angle_beta 90.00
_cell_angle_gamma 90.00
loop_
_atom_site_label
_atom_site_type_symbol
_atom_site_fract_x
_atom_site_fract_y
_atom_site_fract_z
Dy1 Dy 0.0000 0.0000 0.0000
Zr1 Zr 0.0000 0.0000 0.5000
Cu1 Cu 0.2500 0.2500 0.7500
Hg1 Hg 0.2500 0.2500 0.2500
```

Values from the calculation:
* magnetic moment: 0.256 μB/atom
* E: -4.5285 eV/atom